(1)
DFT (PBE-GGA) results for a relaxed Ho3RuAu crystal.

## Properties
- ΔE_f (eV per atom) = -0.538
- theoretical density (g/cm3) = 10.79
- DOS(E_F) (states/eV/f.u.) = 4.1

Lattice parameters (Å, degrees): 8.7140 7.3043 8.0799 90.00 108.31 90.00
Atoms (fractional coordinates):
Ho: 0.0341 0.0055 0.2136
Ho: 0.0341 0.4945 0.7136
Ho: 0.2627 0.6482 0.0947
Ho: 0.2627 0.8518 0.5947
Ho: 0.3503 0.1884 0.9617
Ho: 0.3503 0.3116 0.4617
Ho: 0.6497 0.6884 0.5383
Ho: 0.6497 0.8116 0.0383
Ho: 0.7373 0.1482 0.4053
Ho: 0.7373 0.3518 0.9053
Ho: 0.9659 0.5055 0.2864
Ho: 0.9659 0.9945 0.7864
Ru: 0.0871 0.1846 0.5433
Ru: 0.0871 0.3154 0.0433
Ru: 0.9129 0.6846 0.9567
Ru: 0.9129 0.8154 0.4567
Au: 0.4140 0.5409 0.7983
Au: 0.4140 0.9591 0.2983
Au: 0.5860 0.0409 0.7017
Au: 0.5860 0.4591 0.2017

---

(2)
DFT (PBE-GGA) results for a relaxed ScOsCl2 crystal.

## Properties
- ΔE to the lowest computed polymorph (eV/f.u.) = 1.91
- theoretical density (g/cm3) = 5.98
- DOS(E_F) (states/eV/f.u.) = 2.1

Lattice parameters (Å, degrees): 10.3805 10.3805 10.3805 17.17 17.17 17.17
Atoms (fractional coordinates):
Sc: 0.0000 0.0000 0.0000
Os: 0.5000 0.5000 0.5000
Cl: 0.2765 0.2765 0.2765
Cl: 0.7235 0.7235 0.7235

---

(3)
DFT (PBE-GGA) results for a relaxed LiTbScBe crystal.

## Properties
- ΔE_f (eV per atom) = 0.129
- theoretical density (g/cm3) = 4.55
- DOS(E_F) (states/eV/f.u.) = 4.9

Lattice parameters (Å, degrees): 4.8398 4.8398 4.8398 60.00 60.00 60.00
Atoms (fractional coordinates):
Li: 0.0000 0.0000 0.0000
Tb: 0.2500 0.2500 0.2500
Sc: 0.7500 0.7500 0.7500
Be: 0.5000 0.5000 0.5000

---

(4)
DFT (PBE-GGA) results for a relaxed CuRePt4 crystal.

## Properties
- ΔE to the lowest computed polymorph (eV/f.u.) = 0.00
- ΔE_f (eV per atom) = -0.109
- theoretical density (g/cm3) = 19.00
- DOS(E_F) (states/eV/f.u.) = 4.9

Lattice parameters (Å, degrees): 2.7616 3.9349 8.2837 90.00 90.00 90.00
Atoms (fractional coordinates):
Cu: 0.0000 0.0000 0.0000
Re: 0.5000 0.5000 0.5000
Pt: 0.0000 0.0000 0.3373
Pt: 0.0000 0.0000 0.6627
Pt: 0.5000 0.5000 0.1646
Pt: 0.5000 0.5000 0.8354

---

(5)
DFT (PBE-GGA) results for a relaxed Hf2V2Sn crystal.

## Properties
- ΔE_f (eV per atom) = -0.024
- theoretical density (g/cm3) = 10.19
- DOS(E_F) (states/eV/f.u.) = 4.0

Lattice parameters (Å, degrees): 7.1761 7.1761 3.6552 90.00 90.00 90.00
Atoms (fractional coordinates):
Hf: 0.1886 0.3114 0.0000
Hf: 0.3114 0.8114 0.0000
Hf: 0.6886 0.1886 0.0000
Hf: 0.8114 0.6886 0.0000
V: 0.1035 0.6035 0.5000
V: 0.3965 0.1035 0.5000
V: 0.6035 0.8965 0.5000
V: 0.8965 0.3965 0.5000
Sn: 0.0000 0.0000 0.5000
Sn: 0.5000 0.5000 0.5000

---

(6)
DFT (PBE-GGA) results for a relaxed Pb2AuF crystal.

## Properties
- ΔE to the lowest computed polymorph (eV/f.u.) = 0.30
- theoretical density (g/cm3) = 9.45
- DOS(E_F) (states/eV/f.u.) = 2.0

Lattice parameters (Å, degrees): 8.5664 8.5664 8.5664 143.46 143.46 52.64
Atoms (fractional coordinates):
Pb: 0.0678 0.6250 0.9428
Pb: 0.3750 0.3178 0.4428
Pb: 0.6822 0.1250 0.0572
Pb: 0.8750 0.9322 0.5572
Au: 0.2500 0.7500 0.5000
Au: 0.5000 0.5000 0.0000
F: 0.0000 0.0000 0.0000
F: 0.7500 0.2500 0.5000

---

(7)
DFT (PBE-GGA) results for a relaxed SrCa5 crystal.

## Properties
- ΔE to the lowest computed polymorph (eV/f.u.) = 0.01
- ΔE_f (eV per atom) = 0.013
- theoretical density (g/cm3) = 1.80
- DOS(E_F) (states/eV/f.u.) = 6.2

Lattice parameters (Å, degrees): 7.6814 7.6814 9.4268 105.29 105.29 29.69
Atoms (fractional coordinates):
Sr: 0.0000 0.0000 0.0000
Ca: 0.0553 0.0553 0.6083
Ca: 0.3304 0.3304 0.6603
Ca: 0.3860 0.3860 0.2826
Ca: 0.6680 0.6680 0.3380
Ca: 0.7250 0.7250 0.9425

---

(8)
DFT (PBE-GGA) results for a relaxed Pm4SmHg3 crystal.

## Properties
- ΔE_f (eV per atom) = -0.294
- theoretical density (g/cm3) = 9.45
- DOS(E_F) (states/eV/f.u.) = 9.6

Lattice parameters (Å, degrees): 9.8113 9.8113 9.8113 31.89 31.89 31.89
Atoms (fractional coordinates):
Pm: 0.1116 0.1116 0.1116
Pm: 0.3693 0.3693 0.3693
Pm: 0.6307 0.6307 0.6307
Pm: 0.8884 0.8884 0.8884
Sm: 0.5000 0.5000 0.5000
Hg: 0.0000 0.0000 0.0000
Hg: 0.2341 0.2341 0.2341
Hg: 0.7659 0.7659 0.7659

---

(9)
DFT (PBE-GGA) results for a relaxed NbAl3Si crystal.

## Properties
- ΔE to the lowest computed polymorph (eV/f.u.) = 0.00
- theoretical density (g/cm3) = 3.31
- DOS(E_F) (states/eV/f.u.) = 4.9

Lattice parameters (Å, degrees): 4.6624 4.6624 4.6624 90.00 90.00 90.00
Atoms (fractional coordinates):
Nb: 0.0000 0.0000 0.0000
Al: 0.0000 0.5000 0.5000
Al: 0.5000 0.0000 0.5000
Al: 0.5000 0.5000 0.0000
Si: 0.5000 0.5000 0.5000

---

(10)
DFT (PBE-GGA) results for a relaxed Pr3CI7 crystal.

## Properties
- theoretical density (g/cm3) = 4.15
- raw total energy (eV/atom) = -4.04
- DOS(E_F) (states/eV/f.u.) = 6.3

Lattice parameters (Å, degrees): 8.8934 8.8934 7.7375 90.00 90.00 120.00
Atoms (fractional coordinates):
Pr: 0.0222 0.5111 0.0000
Pr: 0.4889 0.5111 0.0000
Pr: 0.4889 0.9778 0.0000
C: 0.3333 0.6667 0.9181
I: 0.1643 0.3285 0.2497
I: 0.1643 0.8357 0.2497
I: 0.3365 0.1683 0.7712
I: 0.6667 0.3333 0.2444
I: 0.6715 0.8357 0.2497
I: 0.8317 0.1683 0.7712
I: 0.8317 0.6635 0.7712

---

(11)
DFT (PBE-GGA) results for a relaxed MgNbOs2 crystal.

## Properties
- ΔE_f (eV per atom) = 0.800
- theoretical density (g/cm3) = 11.72
- DOS(E_F) (states/eV/f.u.) = 3.6

Lattice parameters (Å, degrees): 6.0930 6.0930 6.0930 154.37 133.63 53.73
Atoms (fractional coordinates):
Mg: 0.0000 0.0000 0.0000
Nb: 0.5000 0.5000 0.0000
Os: 0.2701 0.2701 0.0000
Os: 0.7299 0.7299 0.0000

---

(12)
DFT (PBE-GGA) results for a relaxed Ba4NaO crystal.

## Properties
- ΔE to the lowest computed polymorph (eV/f.u.) = 0.00
- theoretical density (g/cm3) = 3.08
- DOS(E_F) (states/eV/f.u.) = 6.4

Lattice parameters (Å, degrees): 12.8529 8.6357 11.4449 90.00 90.00 90.00
Atoms (fractional coordinates):
Ba: 0.0581 0.0163 0.1832
Ba: 0.0581 0.4837 0.1832
Ba: 0.1047 0.7500 0.5593
Ba: 0.2206 0.2500 0.4406
Ba: 0.2794 0.7500 0.9406
Ba: 0.3953 0.2500 0.0593
Ba: 0.4419 0.5163 0.6832
Ba: 0.4419 0.9837 0.6832
Ba: 0.5581 0.0163 0.3168
Ba: 0.5581 0.4837 0.3168
Ba: 0.6047 0.7500 0.9407
Ba: 0.7206 0.2500 0.0594
Ba: 0.7794 0.7500 0.5594
Ba: 0.8953 0.2500 0.4407
Ba: 0.9419 0.5163 0.8168
Ba: 0.9419 0.9837 0.8168
Na: 0.1914 0.2500 0.8029
Na: 0.3086 0.7500 0.3029
Na: 0.6914 0.2500 0.6971
Na: 0.8086 0.7500 0.1971
O: 0.0596 0.2500 0.3154
O: 0.4404 0.7500 0.8154
O: 0.5596 0.2500 0.1846
O: 0.9404 0.7500 0.6846

---

(13)
DFT (PBE-GGA) results for a relaxed InCoPb2 crystal.

## Properties
- ΔE_f (eV per atom) = 0.316
- theoretical density (g/cm3) = 9.92
- DOS(E_F) (states/eV/f.u.) = 4.0

Lattice parameters (Å, degrees): 3.5098 3.5098 9.3475 100.86 100.86 61.18
Atoms (fractional coordinates):
In: 0.0000 0.0000 0.0000
Co: 0.5000 0.5000 0.5000
Pb: 0.2300 0.2300 0.6963
Pb: 0.7700 0.7700 0.3037

---

(14)
DFT (PBE-GGA) results for a relaxed TaPN3 crystal.

## Properties
- theoretical density (g/cm3) = 9.79
- raw total energy (eV/atom) = -8.07
- DOS(E_F) (states/eV/f.u.) = 1.6

Lattice parameters (Å, degrees): 3.5055 3.5055 3.5055 90.00 90.00 90.00
Atoms (fractional coordinates):
Ta: 0.0000 0.0000 0.0000
P: 0.5000 0.5000 0.5000
N: 0.0000 0.5000 0.5000
N: 0.5000 0.0000 0.5000
N: 0.5000 0.5000 0.0000

---

(15)
DFT (PBE-GGA) results for a relaxed Li2PaBr6 crystal.

## Properties
- ΔE to the lowest computed polymorph (eV/f.u.) = 0.00
- theoretical density (g/cm3) = 4.37
- DOS(E_F) (states/eV/f.u.) = 1.1

Lattice parameters (Å, degrees): 6.6920 6.6920 12.2938 90.00 90.00 90.00
Atoms (fractional coordinates):
Li: 0.0000 0.0000 0.1683
Li: 0.0000 0.0000 0.8317
Li: 0.5000 0.5000 0.3317
Li: 0.5000 0.5000 0.6683
Pa: 0.0000 0.0000 0.5000
Pa: 0.5000 0.5000 0.0000
Br: 0.2002 0.2002 0.0000
Br: 0.2000 0.2000 0.3311
Br: 0.2000 0.2000 0.6689
Br: 0.3000 0.7000 0.1689
Br: 0.2998 0.7002 0.5000
Br: 0.3000 0.7000 0.8311
Br: 0.7000 0.3000 0.1689
Br: 0.7002 0.2998 0.5000
Br: 0.7000 0.3000 0.8311
Br: 0.7998 0.7998 0.0000
Br: 0.8000 0.8000 0.3311
Br: 0.8000 0.8000 0.6689

---

(16)
DFT (PBE-GGA) results for a relaxed Y8Tm2Th crystal.

## Properties
- ΔE to the lowest computed polymorph (eV/f.u.) = 0.00
- ΔE_f (eV per atom) = 0.035
- theoretical density (g/cm3) = 6.04
- DOS(E_F) (states/eV/f.u.) = 18.0

Lattice parameters (Å, degrees): 9.4314 9.4314 7.9706 104.71 104.71 30.97
Atoms (fractional coordinates):
Y: 0.0455 0.0455 0.2323
Y: 0.1358 0.1358 0.6820
Y: 0.3193 0.3193 0.5912
Y: 0.4087 0.4087 0.0473
Y: 0.5913 0.5913 0.9527
Y: 0.6807 0.6807 0.4088
Y: 0.8642 0.8642 0.3180
Y: 0.9545 0.9545 0.7677
Tm: 0.2282 0.2282 0.1349
Tm: 0.7718 0.7718 0.8651
Th: 0.5000 0.5000 0.5000

---

(17)
DFT (PBE-GGA) results for a relaxed Pm3Sm4Mg crystal.

## Properties
- ΔE to the lowest computed polymorph (eV/f.u.) = 0.58
- ΔE_f (eV per atom) = 0.082
- theoretical density (g/cm3) = 6.57
- DOS(E_F) (states/eV/f.u.) = 10.9

Lattice parameters (Å, degrees): 8.8909 8.8909 8.8909 156.98 97.61 86.98
Atoms (fractional coordinates):
Pm: 0.0000 0.0000 0.0000
Pm: 0.2662 0.7662 0.5000
Pm: 0.7338 0.2338 0.5000
Sm: 0.1195 0.3670 0.7524
Sm: 0.3854 0.6330 0.7524
Sm: 0.6146 0.3670 0.2476
Sm: 0.8805 0.6330 0.2476
Mg: 0.5000 0.5000 0.0000

---

(18)
DFT (PBE-GGA) results for a relaxed TaTiNb4 crystal.

## Properties
- ΔE to the lowest computed polymorph (eV/f.u.) = 1.06
- ΔE_f (eV per atom) = 0.179
- theoretical density (g/cm3) = 8.82
- DOS(E_F) (states/eV/f.u.) = 10.7

Lattice parameters (Å, degrees): 5.4276 5.4276 5.4276 60.00 60.00 60.00
Atoms (fractional coordinates):
Ta: 0.0000 0.0000 0.0000
Ti: 0.7500 0.7500 0.7500
Nb: 0.3750 0.3750 0.3750
Nb: 0.3750 0.3750 0.8751
Nb: 0.3750 0.8751 0.3750
Nb: 0.8751 0.3750 0.3750

---

(19)
DFT (PBE-GGA) results for a relaxed LiSm2Zn12Ni3 crystal.

## Properties
- ΔE_f (eV per atom) = 0.173
- theoretical density (g/cm3) = 5.79
- DOS(E_F) (states/eV/f.u.) = 8.3

Lattice parameters (Å, degrees): 7.5433 7.5433 7.5433 69.51 69.51 69.51
Atoms (fractional coordinates):
Li: 0.0000 0.0000 0.0000
Sm: 0.4019 0.4019 0.4019
Sm: 0.5981 0.5981 0.5981
Zn: 0.1412 0.1412 0.6262
Zn: 0.1412 0.6262 0.1412
Zn: 0.1509 0.7161 0.7161
Zn: 0.2839 0.2839 0.8491
Zn: 0.2839 0.8491 0.2839
Zn: 0.3738 0.8588 0.8588
Zn: 0.6262 0.1412 0.1412
Zn: 0.7161 0.1509 0.7161
Zn: 0.7161 0.7161 0.1509
Zn: 0.8491 0.2839 0.2839
Zn: 0.8588 0.3738 0.8588
Zn: 0.8588 0.8588 0.3738
Ni: 0.0000 0.0000 0.5000
Ni: 0.0000 0.5000 0.0000
Ni: 0.5000 0.0000 0.0000

---

(20)
DFT (PBE-GGA) results for a relaxed BaZrNi crystal.

## Properties
- ΔE to the lowest computed polymorph (eV/f.u.) = 0.48
- ΔE_f (eV per atom) = 0.281
- theoretical density (g/cm3) = 5.42
- DOS(E_F) (states/eV/f.u.) = 3.7

Lattice parameters (Å, degrees): 4.2822 4.2822 5.5416 90.00 90.00 120.00
Atoms (fractional coordinates):
Ba: 0.0000 0.0000 0.0000
Zr: 0.3333 0.6667 0.5050
Ni: 0.6667 0.3333 0.4427